No. 1
Density functional theory data (GGA-PBEsol) for crystalline ScHgPb2 at its relaxed geometry.

a b c (Å): 4.718 4.718 4.324
angles (deg): 90.00 90.00 90.00
Space group P4/mmm (No. 123)
Unique sites:
Sc 0.000 0.000 0.000 (multiplicity 1)
Hg 0.500 0.500 0.000 (multiplicity 1)
Pb 0.000 0.500 0.500 (multiplicity 2)

Results
- DOS(E_F): 2.42 states/eV/cell
- Calculated formation energy: -0.237 eV per atom

No. 2
Density functional theory data (GGA-PBEsol) for crystalline CuPSeBr2 at its relaxed geometry.

a b c (Å): 4.721 4.721 4.853
angles (deg): 90.00 90.00 90.00
Space group P4/mmm (No. 123)
Unique sites:
Cu 0.000 0.000 0.000 (multiplicity 1)
P 0.500 0.500 0.500 (multiplicity 1)
Se 0.000 0.000 0.500 (multiplicity 1)
Br 0.000 0.500 0.000 (multiplicity 2)

Results
- DOS(E_F): 3.99 states/eV/cell
- Calculated total energy: -2.945 eV/atom

No. 3
Density functional theory data (GGA-PBEsol) for crystalline CrSnHg3 at its relaxed geometry.

a b c (Å): 5.111 5.111 5.111
angles (deg): 90.00 90.00 90.00
Space group Pm-3m (No. 221)
Unique sites:
Cr 0.000 0.000 0.000 (multiplicity 1)
Sn 0.500 0.500 0.500 (multiplicity 1)
Hg 0.000 0.000 0.500 (multiplicity 3)

Results
- DOS(E_F): 3.60 states/eV/cell
- Calculated formation energy: 0.609 eV per atom

No. 4
Density functional theory data (GGA-PBEsol) for crystalline CrPSN2 at its relaxed geometry.

a b c (Å): 3.586 3.586 4.818
angles (deg): 90.00 90.00 90.00
Space group P4/mmm (No. 123)
Unique sites:
Cr 0.000 0.000 0.000 (multiplicity 1)
P 0.500 0.500 0.500 (multiplicity 1)
S 0.000 0.000 0.500 (multiplicity 1)
N 0.000 0.500 0.000 (multiplicity 2)

Results
- DOS(E_F): 3.19 states/eV/cell
- Calculated total energy: -6.871 eV/atom

No. 5
Density functional theory data (GGA-PBEsol) for crystalline ZrReRh2 at its relaxed geometry.

a b c (Å): 2.798 2.798 7.874
angles (deg): 90.00 90.00 90.00
Space group P4mm (No. 99)
Unique sites:
Zr 0.000 0.000 0.000 (multiplicity 1)
Re 0.500 0.500 0.285 (multiplicity 1)
Rh 0.000 0.000 0.503 (multiplicity 1)
Rh 0.500 0.500 0.746 (multiplicity 1)

Results
- DOS(E_F): 4.15 states/eV/cell
- Distance to the lowest polymorph of the same formula: 0.194 eV per atom
- Calculated formation energy: -0.139 eV per atom

No. 6
Density functional theory data (GGA-PBEsol) for crystalline K5As3Pb3 at its relaxed geometry.

a b c (Å): 19.354 12.030 6.532
angles (deg): 90.00 90.00 90.00
Space group Pnma (No. 62)
Unique sites:
K 0.000 0.000 0.000 (multiplicity 4)
K 0.102 0.250 0.047 (multiplicity 4)
K 0.121 0.750 0.738 (multiplicity 4)
K 0.179 0.546 0.271 (multiplicity 8)
As 0.045 0.750 0.239 (multiplicity 4)
As 0.153 0.052 0.765 (multiplicity 8)
Pb 0.043 0.117 0.520 (multiplicity 8)
Pb 0.194 0.250 0.558 (multiplicity 4)

Results
- Calculated formation energy: -0.344 eV per atom